Record 1
Entry from Alexandria: a relaxed Tb12NdTh3 crystal (PBE).

Structure (CIF):
```
data_Tb12NdTh3
_chemical_formula_sum 'Tb12 Nd1 Th3'
_cell_length_a 5.0475
_cell_length_b 5.0475
_cell_length_c 20.1719
_cell_angle_alpha 90.00
_cell_angle_beta 90.00
_cell_angle_gamma 90.00
_space_group_name_H-M_alt 'P 1'
_space_group_IT_number 1
_space_group_name_Hall 'P 1'
loop_
_atom_site_label
_atom_site_type_symbol
_atom_site_fract_x
_atom_site_fract_y
_atom_site_fract_z
Tb1 Tb 0.5000 0.5000 0.0000
Tb2 Tb 0.5000 0.5000 0.2510
Tb3 Tb 0.5000 0.5000 0.5000
Tb4 Tb 0.5000 0.5000 0.7490
Tb5 Tb 0.5000 0.0000 0.1280
Tb6 Tb 0.5000 0.0000 0.3758
Tb7 Tb 0.5000 0.0000 0.6242
Tb8 Tb 0.5000 0.0000 0.8720
Tb9 Tb 0.0000 0.5000 0.1280
Tb10 Tb 0.0000 0.5000 0.3758
Tb11 Tb 0.0000 0.5000 0.6242
Tb12 Tb 0.0000 0.5000 0.8720
Nd1 Nd 0.0000 0.0000 0.0000
Th1 Th 0.0000 0.0000 0.2512
Th2 Th 0.0000 0.0000 0.5000
Th3 Th 0.0000 0.0000 0.7488
```

Results
As for the space-group type: No. 123. Its total energy is -5.129 eV per atom. For the density, the calculation gives 8.877 g/cm3. As for the total magnetization: 0.0000 μB/atom. The calculated formation energy is 0.03 eV per atom.

***

Record 2
Entry from Alexandria: a relaxed CeNdSiAg crystal (PBE).

Structure (CIF):
```
data_CeNdSiAg
_chemical_formula_sum 'Ce1 Nd1 Si1 Ag1'
_cell_length_a 5.2058
_cell_length_b 5.2058
_cell_length_c 5.2058
_cell_angle_alpha 60.00
_cell_angle_beta 60.00
_cell_angle_gamma 60.00
_space_group_name_H-M_alt 'P 1'
_space_group_IT_number 1
_space_group_name_Hall 'P 1'
loop_
_atom_site_label
_atom_site_type_symbol
_atom_site_fract_x
_atom_site_fract_y
_atom_site_fract_z
Si1 Si 0.7500 0.7500 0.7500
Nd1 Nd 0.5000 0.5000 0.5000
Ag1 Ag 0.2500 0.2500 0.2500
Ce1 Ce 0.0000 0.0000 0.0000
```

Results
As for the space-group type: No. 216. Its total energy is -5.072 eV per atom. For the density, the calculation gives 6.997 g/cm3. As for the total magnetization: 0.4267 μB/atom. The value obtained for the uncorrected formation energy is -0.33 eV per atom.

***

Record 3
Entry from Alexandria: a relaxed Ta2ReI2 crystal (PBE).

Structure (CIF):
```
data_Ta2ReI2
_chemical_formula_sum 'Ta2 Re1 I2'
_cell_length_a 3.8881
_cell_length_b 3.8881
_cell_length_c 8.6227
_cell_angle_alpha 76.97
_cell_angle_beta 76.97
_cell_angle_gamma 90.00
_space_group_name_H-M_alt 'P 1'
_space_group_IT_number 1
_space_group_name_Hall 'P 1'
loop_
_atom_site_label
_atom_site_type_symbol
_atom_site_fract_x
_atom_site_fract_y
_atom_site_fract_z
I1 I 0.3858 0.3858 0.2285
I2 I 0.6142 0.6142 0.7715
Re1 Re 0.0000 0.0000 0.0000
Ta1 Ta 0.7500 0.2500 0.5000
Ta2 Ta 0.2500 0.7500 0.5000
```

Results
As for the space-group type: No. 139. The energy relative to the lowest polymorph listed for this composition is 32 kJ/mol of formula units. Its total energy is -6.226 eV per atom. For the density, the calculation gives 10.778 g/cm3. As for the total magnetization: 0.7826 μB/atom. The value obtained for the uncorrected formation energy is 1.63 eV per atom.

***

Which value of total magnetization does entry 2 give?
0.4267 μB/atom

***

The lowest total magnetization belongs to which entry?
Tb12NdTh3

***

The lowest total magnetization belongs to which entry?
Tb12NdTh3

***

Number 1 is which compound?
Tb12NdTh3